No. 1
A plane-wave DFT calculation with PBE-GGA was carried out for a relaxed structure of TmHICl.

a = 3.8163 Å, b = 3.8163 Å, c = 15.0173 Å
α = 90.00°, β = 90.00°, γ = 120.00°
Atoms (fractional coordinates):
Tm 0.0000 0.0000 0.0000
Tm 0.0000 0.0000 0.5000
H 0.3333 0.6667 0.0044
H 0.6667 0.3333 0.5044
I 0.3333 0.6667 0.6426
I 0.6667 0.3333 0.1426
Cl 0.3333 0.6667 0.3881
Cl 0.6667 0.3333 0.8881

Calculated values
Offset from the most stable computed form (meV/atom): 0
Total magnetization (μB/cell): 0.0

No. 2
A plane-wave DFT calculation with PBE-GGA was carried out for a relaxed structure of Tm2H2I3Cl.

a = 3.8835 Å, b = 3.8835 Å, c = 15.9500 Å
α = 90.00°, β = 90.00°, γ = 120.00°
Atoms (fractional coordinates):
Tm 0.0000 0.0000 0.0000
Tm 0.0000 0.0000 0.4911
H 0.3333 0.6667 0.9998
H 0.6667 0.3333 0.4953
I 0.3333 0.6667 0.6240
I 0.6667 0.3333 0.1323
I 0.6667 0.3333 0.8679
Cl 0.3333 0.6667 0.3874

Calculated values
E (eV per atom): -4.057
Total magnetization (μB/cell): 0.0

No. 3
A plane-wave DFT calculation with PBE-GGA was carried out for a relaxed structure of K2H3IrNCl5.

a = 13.6394 Å, b = 9.9698 Å, c = 7.1895 Å
α = 90.00°, β = 90.00°, γ = 90.00°
Atoms (fractional coordinates):
K 0.1550 0.9999 0.1223
K 0.1550 0.5001 0.1223
K 0.3450 0.0001 0.6223
K 0.3450 0.4999 0.6223
K 0.6550 0.9999 0.3777
K 0.6550 0.5001 0.3777
K 0.8450 0.0001 0.8777
K 0.8450 0.4999 0.8777
H 0.0096 0.1661 0.5731
H 0.0096 0.3339 0.5731
H 0.0740 0.2500 0.4182
H 0.4260 0.7500 0.9182
H 0.4904 0.6661 0.0731
H 0.4904 0.8339 0.0731
H 0.5096 0.1661 0.9269
H 0.5096 0.3339 0.9269
H 0.5740 0.2500 0.0818
H 0.9260 0.7500 0.5818
H 0.9904 0.6661 0.4269
H 0.9904 0.8339 0.4269
Ir 0.1117 0.7500 0.6863
Ir 0.3883 0.2500 0.1863
Ir 0.6117 0.7500 0.8137
Ir 0.8883 0.2500 0.3137
N 0.0082 0.2500 0.4892
N 0.4918 0.7500 0.9892
N 0.5082 0.2500 0.0108
N 0.9918 0.7500 0.5108
Cl 0.0058 0.7500 0.9497
Cl 0.1101 0.5127 0.6861
Cl 0.1101 0.9873 0.6861
Cl 0.2126 0.7500 0.4178
Cl 0.2470 0.2500 0.3861
Cl 0.2530 0.7500 0.8861
Cl 0.2874 0.2500 0.9178
Cl 0.3899 0.0127 0.1861
Cl 0.3899 0.4873 0.1861
Cl 0.4942 0.2500 0.4497
Cl 0.5058 0.7500 0.5503
Cl 0.6101 0.5127 0.8139
Cl 0.6101 0.9873 0.8139
Cl 0.7126 0.7500 0.0822
Cl 0.7470 0.2500 0.1139
Cl 0.7530 0.7500 0.6139
Cl 0.7874 0.2500 0.5822
Cl 0.8899 0.0127 0.3139
Cl 0.8899 0.4873 0.3139
Cl 0.9942 0.2500 0.0503

Calculated values
E (eV per atom): -4.246
Total magnetization (μB/cell): 0.0

No. 4
A plane-wave DFT calculation with PBE-GGA was carried out for a relaxed structure of K2H2IrCl5O.

a = 13.7101 Å, b = 9.2433 Å, c = 7.4465 Å
α = 90.00°, β = 90.00°, γ = 90.00°
Atoms (fractional coordinates):
K 0.1529 0.0028 0.1275
K 0.1529 0.4972 0.1275
K 0.3471 0.5028 0.6275
K 0.3471 0.9972 0.6275
K 0.6529 0.0028 0.3725
K 0.6529 0.4972 0.3725
K 0.8471 0.5028 0.8725
K 0.8471 0.9972 0.8725
H 0.0381 0.1633 0.5309
H 0.0381 0.3367 0.5309
H 0.4619 0.6633 0.0309
H 0.4619 0.8367 0.0309
H 0.5381 0.1633 0.9691
H 0.5381 0.3367 0.9691
H 0.9619 0.6633 0.4691
H 0.9619 0.8367 0.4691
Ir 0.1026 0.7500 0.6949
Ir 0.3974 0.2500 0.1949
Ir 0.6026 0.7500 0.8051
Ir 0.8974 0.2500 0.3051
Cl 0.0071 0.7500 0.9604
Cl 0.1019 0.0059 0.6988
Cl 0.1019 0.4941 0.6988
Cl 0.1969 0.7500 0.4275
Cl 0.2441 0.7500 0.8699
Cl 0.2559 0.2500 0.3699
Cl 0.3031 0.2500 0.9275
Cl 0.3981 0.5059 0.1988
Cl 0.3981 0.9941 0.1988
Cl 0.4929 0.2500 0.4604
Cl 0.5071 0.7500 0.5396
Cl 0.6019 0.0059 0.8012
Cl 0.6019 0.4941 0.8012
Cl 0.6969 0.7500 0.0725
Cl 0.7441 0.7500 0.6301
Cl 0.7559 0.2500 0.1301
Cl 0.8031 0.2500 0.5725
Cl 0.8981 0.5059 0.3012
Cl 0.8981 0.9941 0.3012
Cl 0.9929 0.2500 0.0396
O 0.0278 0.2500 0.4539
O 0.4722 0.7500 0.9539
O 0.5278 0.2500 0.0461
O 0.9722 0.7500 0.5461

Calculated values
E (eV per atom): -4.093
Total magnetization (μB/cell): 0.0

No. 5
A plane-wave DFT calculation with PBE-GGA was carried out for a relaxed structure of H4IrNCl4.

a = 8.3525 Å, b = 8.3525 Å, c = 8.3525 Å
α = 127.03°, β = 127.03°, γ = 78.20°
Atoms (fractional coordinates):
H 0.2939 0.9705 0.1082
H 0.3142 0.2061 0.1766
H 0.3624 0.1858 0.3918
H 0.4705 0.8624 0.6766
H 0.5295 0.1376 0.3234
H 0.6376 0.8142 0.6082
H 0.6858 0.7939 0.8234
H 0.7061 0.0295 0.8918
Ir 0.1250 0.3750 0.7500
Ir 0.8750 0.6250 0.2500
N 0.3750 0.1250 0.2500
N 0.6250 0.8750 0.7500
Cl 0.0691 0.6913 0.9594
Cl 0.1913 0.7319 0.6222
Cl 0.2319 0.1097 0.5406
Cl 0.3903 0.4309 0.1222
Cl 0.6097 0.5691 0.8778
Cl 0.7681 0.8903 0.4594
Cl 0.8087 0.2681 0.3778
Cl 0.9309 0.3087 0.0406

Calculated values
E (eV per atom): -4.213
Total magnetization (μB/cell): 4.0

No. 6
A plane-wave DFT calculation with PBE-GGA was carried out for a relaxed structure of K2H2PdCl2.

a = 6.2650 Å, b = 6.2650 Å, c = 6.2650 Å
α = 110.59°, β = 98.50°, γ = 120.03°
Atoms (fractional coordinates):
K 0.2479 0.0000 0.2479
K 0.7521 0.0000 0.7521
H 0.2707 0.1246 0.8539
H 0.2707 0.4168 0.1461
Pd 0.4594 0.4594 0.0000
Cl 0.7331 0.4891 0.7560
Cl 0.7331 0.9770 0.2440

Calculated values
Offset from the most stable computed form (meV/atom): 0

No. 7
A plane-wave DFT calculation with PBE-GGA was carried out for a relaxed structure of K2H3PdCl.

a = 5.9962 Å, b = 5.4947 Å, c = 6.0643 Å
α = 62.27°, β = 54.20°, γ = 63.53°
Atoms (fractional coordinates):
K 0.0000 0.0000 0.5000
K 0.5000 0.5000 0.0000
H 0.0526 0.0526 0.9474
H 0.0670 0.4277 0.5723
H 0.4277 0.0670 0.9330
Pd 0.2585 0.2585 0.7415
Cl 0.5807 0.5807 0.4193

Calculated values
E (eV per atom): -3.362

No. 8
A plane-wave DFT calculation with PBE-GGA was carried out for a relaxed structure of K2H2PdCl2.

a = 6.2920 Å, b = 6.2024 Å, c = 5.7710 Å
α = 63.28°, β = 61.70°, γ = 55.01°
Atoms (fractional coordinates):
K 0.2500 0.2500 0.2500
K 0.7500 0.7500 0.7500
H 0.1765 0.1765 0.8235
H 0.8235 0.8235 0.1765
Pd 0.0000 0.0000 0.0000
Cl 0.2824 0.7176 0.2824
Cl 0.7176 0.2824 0.7176

Calculated values
Offset from the most stable computed form (meV/atom): 95

No. 9
A plane-wave DFT calculation with PBE-GGA was carried out for a relaxed structure of LaNdH2Cl4.

a = 3.9809 Å, b = 3.9809 Å, c = 13.3048 Å
α = 90.00°, β = 90.00°, γ = 120.00°
Atoms (fractional coordinates):
La 0.0000 0.0000 0.0000
Nd 0.0000 0.0000 0.5000
H 0.3333 0.6667 0.0000
H 0.6667 0.3333 0.5000
Cl 0.3333 0.6667 0.3684
Cl 0.3333 0.6667 0.6316
Cl 0.6667 0.3333 0.1354
Cl 0.6667 0.3333 0.8646

Calculated values
E (eV per atom): -4.779
Total magnetization (μB/cell): 0.0

No. 10
A plane-wave DFT calculation with PBE-GGA was carried out for a relaxed structure of LaPuH2Cl4.

a = 3.9497 Å, b = 3.9497 Å, c = 13.2417 Å
α = 90.00°, β = 90.00°, γ = 120.00°
Atoms (fractional coordinates):
La 0.0000 0.0000 0.0000
Pu 0.0000 0.0000 0.5000
H 0.3333 0.6667 0.5000
H 0.6667 0.3333 0.0000
Cl 0.3333 0.6667 0.1367
Cl 0.3333 0.6667 0.8633
Cl 0.6667 0.3333 0.3695
Cl 0.6667 0.3333 0.6305

Calculated values
E (eV per atom): -5.799
Total magnetization (μB/cell): 5.0

No. 11
A plane-wave DFT calculation with PBE-GGA was carried out for a relaxed structure of LaTmH2Cl4.

a = 3.8580 Å, b = 3.8580 Å, c = 13.2799 Å
α = 90.00°, β = 90.00°, γ = 120.00°
Atoms (fractional coordinates):
La 0.0000 0.0000 0.0000
Tm 0.0000 0.0000 0.5000
H 0.3333 0.6667 0.0000
H 0.6667 0.3333 0.5000
Cl 0.3333 0.6667 0.3734
Cl 0.3333 0.6667 0.6266
Cl 0.6667 0.3333 0.1388
Cl 0.6667 0.3333 0.8612

Calculated values
E (eV per atom): -4.703
Total magnetization (μB/cell): 0.0

No. 12
A plane-wave DFT calculation with PBE-GGA was carried out for a relaxed structure of LaUH2Cl4.

a = 3.9199 Å, b = 3.9199 Å, c = 13.3874 Å
α = 90.00°, β = 90.00°, γ = 120.00°
Atoms (fractional coordinates):
La 0.0000 0.0000 0.0000
U 0.0000 0.0000 0.5000
H 0.3333 0.6667 0.5000
H 0.6667 0.3333 0.0000
Cl 0.3333 0.6667 0.1362
Cl 0.3333 0.6667 0.8638
Cl 0.6667 0.3333 0.3677
Cl 0.6667 0.3333 0.6323

Calculated values
E (eV per atom): -5.315
Total magnetization (μB/cell): 3.0